No. 1
The following is a DFT calculation (PBE) of an optimized crystal structure of MgBe2Rh.

The energy of formation from the pure elements is -0.307 eV per atom.

Cell lengths 2.933, 2.933, 5.752 Å; angles 90.00, 90.00, 90.00 degrees
Element x y z (fractional)
Mg  0.000  0.000  0.000
Be  0.500  0.500  0.302
Be  0.500  0.500  0.698
Rh  0.000  0.000  0.500

No. 2
The following is a DFT calculation (PBE) of an optimized crystal structure of Mg4BeRh5.

The energy of formation from the pure elements is -0.455 eV per atom.

Cell lengths 3.023, 3.023, 15.662 Å; angles 90.00, 90.00, 90.00 degrees
Element x y z (fractional)
Mg  0.000  0.000  0.104
Mg  0.000  0.000  0.311
Mg  0.000  0.000  0.689
Mg  0.000  0.000  0.896
Be  0.000  0.000  0.500
Rh  0.500  0.500  0.000
Rh  0.500  0.500  0.208
Rh  0.500  0.500  0.417
Rh  0.500  0.500  0.583
Rh  0.500  0.500  0.792

No. 3
The following is a DFT calculation (PBE) of an optimized crystal structure of Mg3BeRh.

The energy of formation from the pure elements is 0.452 eV per atom.

Cell lengths 4.879, 4.879, 4.879 Å; angles 90.00, 90.00, 90.00 degrees
Element x y z (fractional)
Mg  0.000  0.000  0.500
Mg  0.000  0.500  0.000
Mg  0.500  0.000  0.000
Be  0.500  0.500  0.500
Rh  0.000  0.000  0.000

No. 4
The following is a DFT calculation (PBE) of an optimized crystal structure of MgBe2Rh.

The energy of formation from the pure elements is -0.243 eV per atom.

Cell lengths 4.308, 4.308, 4.466 Å; angles 107.44, 107.44, 41.32 degrees
Element x y z (fractional)
Mg  0.000  0.000  0.000
Be  0.225  0.225  0.647
Be  0.775  0.775  0.353
Rh  0.500  0.500  0.500

No. 5
The following is a DFT calculation (PBE) of an optimized crystal structure of Mg3BeRh4.

The energy of formation from the pure elements is -0.459 eV per atom.

Cell lengths 2.996, 2.996, 12.563 Å; angles 90.00, 90.00, 90.00 degrees
Element x y z (fractional)
Mg  0.000  0.000  0.000
Mg  0.000  0.000  0.262
Mg  0.000  0.000  0.738
Be  0.000  0.000  0.500
Rh  0.500  0.500  0.132
Rh  0.500  0.500  0.396
Rh  0.500  0.500  0.604
Rh  0.500  0.500  0.868

No. 6
The following is a DFT calculation (PBE) of an optimized crystal structure of MgBe2Rh.

The energy of formation from the pure elements is -0.198 eV per atom.

Cell lengths 3.960, 3.960, 3.022 Å; angles 90.00, 90.00, 90.00 degrees
Element x y z (fractional)
Mg  0.000  0.000  0.000
Be  0.000  0.500  0.500
Be  0.500  0.000  0.500
Rh  0.500  0.500  0.000

No. 7
The following is a DFT calculation (PBE) of an optimized crystal structure of MgBe17Rh.

The energy of formation from the pure elements is -0.078 eV per atom.

Cell lengths 5.563, 5.563, 5.563 Å; angles 82.35, 82.35, 82.35 degrees
Element x y z (fractional)
Mg  0.000  0.000  0.000
Be  0.037  0.344  0.636
Be  0.037  0.636  0.344
Be  0.195  0.678  0.678
Be  0.242  0.242  0.242
Be  0.335  0.335  0.845
Be  0.335  0.845  0.335
Be  0.344  0.037  0.636
Be  0.344  0.636  0.037
Be  0.438  0.438  0.438
Be  0.508  0.990  0.990
Be  0.636  0.037  0.344
Be  0.636  0.344  0.037
Be  0.678  0.195  0.678
Be  0.678  0.678  0.195
Be  0.845  0.335  0.335
Be  0.990  0.508  0.990
Be  0.990  0.990  0.508
Rh  0.662  0.662  0.662

No. 8
The following is a DFT calculation (PBE) of an optimized crystal structure of MgBeRh.

The energy of formation from the pure elements is -0.459 eV per atom.

Cell lengths 5.057, 5.057, 5.057 Å; angles 145.57, 145.57, 49.49 degrees
Element x y z (fractional)
Mg  0.000  0.000  0.000
Be  0.711  0.711  0.000
Rh  0.303  0.303  0.000